The following is a PBE calculation of a relaxed structure of SrCd10Hg, from Alexandria.

Electronic total energy = -11.905 eV per formula unit
D(E_F) = 0.463 states/eV/atom

```
SrCd10Hg
1.0
4.947 0.000 0.000
0.000 6.011 0.000
0.000 0.000 10.427
Sr Cd Hg
1 10 1
Cartesian
0.000 0.000 0.000 Sr
0.000 0.000 3.590 Cd
0.000 0.000 6.837 Cd
0.000 3.006 2.071 Cd
0.000 3.006 8.356 Cd
2.473 0.000 5.213 Cd
2.473 1.437 2.471 Cd
2.473 1.437 7.956 Cd
2.473 3.006 0.000 Cd
2.473 4.574 2.471 Cd
2.473 4.574 7.956 Cd
0.000 3.006 5.213 Hg
```

The following is a PBE calculation of a relaxed structure of PuHfHg, from Alexandria.

Electronic total energy = -24.186 eV per formula unit
D(E_F) = 1.286 states/eV/atom

```
PuHfHg
1.0
3.114 0.000 0.000
0.000 4.394 0.000
-0.585 0.000 8.959
Pu Hf Hg
2 2 2
Cartesian
0.035 1.099 4.154 Pu
2.493 3.296 4.804 Pu
1.037 1.099 6.741 Hf
1.492 3.296 2.218 Hf
-0.520 3.296 8.054 Hg
3.049 1.099 0.905 Hg
```

The following is a PBE calculation of a relaxed structure of SmHo3C, from Alexandria.

Electronic total energy = -27.775 eV per formula unit
D(E_F) = 0.988 states/eV/atom

```
SmHo3C
1.0
5.034 0.000 0.000
0.000 5.034 0.000
0.000 0.000 5.034
Sm Ho C
1 3 1
Cartesian
0.000 0.000 0.000 Sm
0.000 2.517 2.517 Ho
2.517 0.000 2.517 Ho
2.517 2.517 0.000 Ho
2.517 2.517 2.517 C
```

The following is a PBE calculation of a relaxed structure of Pr2Nd2SmHo4, from Alexandria.

Electronic total energy = -42.077 eV per formula unit
D(E_F) = 1.337 states/eV/atom

```
Pr2Nd2SmHo4
1.0
9.449 -1.825 0.000
9.449 1.825 0.000
-4.219 0.000 8.729
Pr Nd Sm Ho
2 2 1 4
Cartesian
2.086 0.000 1.421 Pr
12.592 0.000 7.308 Pr
4.220 0.000 4.334 Nd
10.458 0.000 4.395 Nd
-2.110 0.000 4.364 Sm
-0.037 0.000 7.301 Ho
8.365 0.000 1.471 Ho
6.313 0.000 7.258 Ho
14.715 0.000 1.428 Ho
```

The following is a PBE calculation of a relaxed structure of Li3Mg5Ga, from Alexandria.

Electronic total energy = -15.832 eV per formula unit
D(E_F) = 0.359 states/eV/atom

```
Li3Mg5Ga
1.0
6.513 -3.712 0.000
6.513 3.712 0.000
-2.551 0.000 8.336
Li Mg Ga
6 10 2
Cartesian
0.000 0.000 0.000 Li
-1.275 0.000 4.168 Li
0.871 0.000 2.498 Li
1.986 0.000 6.222 Li
8.489 0.000 2.114 Li
9.604 0.000 5.839 Li
3.316 1.592 3.450 Mg
3.330 0.000 0.628 Mg
6.513 1.346 0.000 Mg
7.159 1.592 4.886 Mg
4.743 0.000 5.701 Mg
5.731 0.000 2.635 Mg
3.316 -1.592 3.450 Mg
6.513 -1.346 0.000 Mg
7.145 0.000 7.709 Mg
7.159 -1.592 4.886 Mg
-0.716 0.000 6.658 Ga
11.191 0.000 1.678 Ga
```

The following is a PBE calculation of a relaxed structure of TmHg4Pd7, from Alexandria.

Electronic total energy = -44.112 eV per formula unit
D(E_F) = 0.346 states/eV/atom

```
TmHg4Pd7
1.0
5.397 -2.513 0.000
5.397 2.513 0.000
-5.049 0.000 8.618
Tm Hg Pd
1 4 7
Cartesian
0.000 0.000 0.000 Tm
-0.668 0.000 5.766 Hg
3.318 0.000 1.976 Hg
2.427 0.000 6.642 Hg
6.414 0.000 2.852 Hg
-1.059 0.000 2.906 Pd
-2.352 0.000 7.931 Pd
1.478 0.000 4.042 Pd
5.397 0.000 0.000 Pd
4.267 0.000 4.576 Pd
8.097 0.000 0.686 Pd
6.805 0.000 5.711 Pd
```

What did the second record say?
The following is a PBE calculation of a relaxed structure of PuHfHg, from Alexandria.

Electronic total energy = -24.186 eV per formula unit
D(E_F) = 1.286 states/eV/atom

```
PuHfHg
1.0
3.114 0.000 0.000
0.000 4.394 0.000
-0.585 0.000 8.959
Pu Hf Hg
2 2 2
Cartesian
0.035 1.099 4.154 Pu
2.493 3.296 4.804 Pu
1.037 1.099 6.741 Hf
1.492 3.296 2.218 Hf
-0.520 3.296 8.054 Hg
3.049 1.099 0.905 Hg
```